(P)
Entry from the Alexandria database: MgHgSe2 at its PBEsol-relaxed geometry (meta-GGA SCAN).

The calculation puts the total magnetization at 0.0 μB per formula unit. As for the mass density: 7.3 g cm⁻³.

It has space group P4/mmm (No. 123), with a = 3.944 Å, b = 3.944 Å, c = 5.626 Å, α = 90.00°, β = 90.00° and γ = 90.00°. Symmetry generates all atoms from Mg at (0.000, 0.000, 0.000), Hg at (0.500, 0.500, 0.500), Se at (0.000, 0.000, 0.500) and Se at (0.500, 0.500, 0.000).

***

(Q)
Entry from the Alexandria database: MgHgSe2 at its PBEsol-relaxed geometry (meta-GGA SCAN).

The calculation puts the total magnetization at 0.0 μB per formula unit. As for the mass density: 6.8 g cm⁻³.

It has space group R-3m (No. 166, hexagonal axes), with a = 3.2570 Å, b = 3.2570 Å, c = 30.3810 Å, α = 90.00°, β = 90.00° and γ = 120.00°. Symmetry generates all atoms from Mg at (0.0000, 0.0000, 0.0000), Hg at (0.0000, 0.0000, 0.5000) and Se at (0.0000, 0.0000, 0.2710).

***

Which of them is most stable, and which least? Most stable: (P); least stable: (Q).

***

(P)
Entry from the Alexandria database: MgHgSe2 at its PBEsol-relaxed geometry (meta-GGA SCAN).

The calculation puts the total magnetization at 0.0 μB per formula unit. As for the mass density: 5.8 g cm⁻³.

It has space group I-42d (No. 122), with a = 6.017 Å, b = 6.017 Å, c = 12.162 Å, α = 90.00°, β = 90.00° and γ = 90.00°. Symmetry generates all atoms from Mg at (0.000, 0.000, 0.000), Hg at (0.000, 0.000, 0.500) and Se at (0.237, 0.250, 0.125).

***

(Q)
Entry from the Alexandria database: MgHgSe2 at its PBEsol-relaxed geometry (meta-GGA SCAN).

The calculation puts the total magnetization at 0.0 μB per formula unit. As for the mass density: 5.7 g cm⁻³.

It has space group R-3m (No. 166, hexagonal axes), with a = 4.1585 Å, b = 4.1585 Å, c = 22.4019 Å, α = 90.00°, β = 90.00° and γ = 120.00°. Symmetry generates all atoms from Mg at (0.0000, 0.0000, 0.0000), Hg at (0.0000, 0.0000, 0.5000) and Se at (0.0000, 0.0000, 0.3908).

***

Which of them is most stable, and which least? Most stable: (P); least stable: (Q).

***

(P)
Entry from the Alexandria database: Mg2HgSe2 at its PBEsol-relaxed geometry (meta-GGA SCAN).

The calculation puts the total magnetization at 0.0 μB per formula unit. As for the mass density: 5.2 g cm⁻³.

It has space group I4/mmm (No. 139), with a = 4.566 Å, b = 4.566 Å, c = 12.464 Å, α = 90.00°, β = 90.00° and γ = 90.00°. Symmetry generates all atoms from Mg at (0.000, 0.500, 0.250), Hg at (0.000, 0.000, 0.000) and Se at (0.000, 0.000, 0.351).

***

(Q)
Entry from the Alexandria database: Mg2HgSe2 at its PBEsol-relaxed geometry (meta-GGA SCAN).

The calculation puts the total magnetization at 0.0 μB per formula unit. As for the mass density: 4.2 g cm⁻³.

It has space group I4/mmm (No. 139), with a = 5.207 Å, b = 5.207 Å, c = 11.909 Å, α = 90.00°, β = 90.00° and γ = 90.00°. Symmetry generates all atoms from Mg at (0.000, 0.000, 0.247), Hg at (0.000, 0.000, 0.000) and Se at (0.000, 0.500, 0.250).

***

Which of them is most stable, and which least? Most stable: (P); least stable: (Q).

***

(P)
Entry from the Alexandria database: Sr2MgHg at its PBEsol-relaxed geometry (meta-GGA SCAN).

The calculation puts the total magnetization at 0.1 μB per formula unit. As for the mass density: 5.1 g cm⁻³.

It has space group P4/mmm (No. 123), with a = 4.002 Å, b = 4.002 Å, c = 8.110 Å, α = 90.00°, β = 90.00° and γ = 90.00°. Symmetry generates all atoms from Sr at (0.000, 0.000, 0.232), Mg at (0.500, 0.500, 0.500) and Hg at (0.500, 0.500, 0.000).

***

(Q)
Entry from the Alexandria database: Sr2MgHg at its PBEsol-relaxed geometry (meta-GGA SCAN).

The calculation puts the total magnetization at 0.0 μB per formula unit. As for the mass density: 5.2 g cm⁻³.

It has space group Fm-3m (No. 225), with a = 8.014 Å, b = 8.014 Å, c = 8.014 Å, α = 90.00°, β = 90.00° and γ = 90.00°. Symmetry generates all atoms from Sr at (0.250, 0.250, 0.250), Mg at (0.000, 0.000, 0.000) and Hg at (0.000, 0.000, 0.500).

***

Which of them is most stable, and which least? Most stable: (P); least stable: (Q).

***

(P)
Entry from the Alexandria database: Sr2MgHg at its PBEsol-relaxed geometry (meta-GGA SCAN).

The calculation puts the total magnetization at 0.0 μB per formula unit. As for the mass density: 5.1 g cm⁻³.

It has space group I-4m2 (No. 119), with a = 4.901 Å, b = 4.901 Å, c = 10.872 Å, α = 90.00°, β = 90.00° and γ = 90.00°. Symmetry generates all atoms from Sr at (0.000, 0.000, 0.000), Sr at (0.000, 0.500, 0.250), Mg at (0.000, 0.500, 0.750) and Hg at (0.000, 0.000, 0.500).

***

(Q)
Entry from the Alexandria database: Sr2MgHg at its PBEsol-relaxed geometry (meta-GGA SCAN).

The calculation puts the total magnetization at 0.1 μB per formula unit. As for the mass density: 5.1 g cm⁻³.

It has space group Imm2 (No. 44), with a = 3.885 Å, b = 5.734 Å, c = 11.707 Å, α = 90.00°, β = 90.00° and γ = 90.00°. Symmetry generates all atoms from Sr at (0.000, 0.000, 0.000), Sr at (0.000, 0.500, 0.199), Mg at (0.000, 0.000, 0.415) and Hg at (0.000, 0.500, 0.733).

***

Which of them is most stable, and which least? Most stable: (Q); least stable: (P).

***

(P)
Entry from the Alexandria database: MgTa2Hg at its PBEsol-relaxed geometry (meta-GGA SCAN).

The calculation puts the total magnetization at 0.0 μB per formula unit. As for the mass density: 13.3 g cm⁻³.

It has space group C2/m (No. 12), with a = 5.448 Å, b = 9.810 Å, c = 2.865 Å, α = 90.00°, β = 106.37° and γ = 90.00°. Symmetry generates all atoms from Mg at (0.000, 0.000, 0.000), Ta at (0.250, 0.250, 0.500) and Hg at (0.000, 0.500, 0.000).

***

(Q)
Entry from the Alexandria database: MgTa2Hg at its PBEsol-relaxed geometry (meta-GGA SCAN).

The calculation puts the total magnetization at 0.0 μB per formula unit. As for the mass density: 13.2 g cm⁻³.

It has space group Cmmm (No. 65), with a = 3.794 Å, b = 4.199 Å, c = 9.285 Å, α = 90.00°, β = 90.00° and γ = 90.00°. Symmetry generates all atoms from Mg at (0.000, 0.000, 0.000), Ta at (0.000, 0.500, 0.253) and Hg at (0.000, 0.000, 0.500).

***

(R)
Entry from the Alexandria database: MgTa2Hg at its PBEsol-relaxed geometry (meta-GGA SCAN).

The calculation puts the total magnetization at 0.0 μB per formula unit. As for the mass density: 13.1 g cm⁻³.

It has space group P4mm (No. 99), with a = 2.862 Å, b = 2.862 Å, c = 9.078 Å, α = 90.00°, β = 90.00° and γ = 90.00°. Symmetry generates all atoms from Mg at (0.000, 0.000, 0.000), Ta at (0.000, 0.000, 0.505), Ta at (0.500, 0.500, 0.260) and Hg at (0.500, 0.500, 0.755).

***

(S)
Entry from the Alexandria database: MgTa2Hg at its PBEsol-relaxed geometry (meta-GGA SCAN).

The calculation puts the total magnetization at 0.0 μB per formula unit. As for the mass density: 13.0 g cm⁻³.

It has space group Cm (No. 8), with a = 9.770 Å, b = 2.889 Å, c = 5.365 Å, α = 90.00°, β = 99.30° and γ = 90.00°. Symmetry generates all atoms from Mg at (0.000, 0.000, 0.000), Ta at (0.236, 0.000, 0.689), Ta at (0.499, 0.000, 0.515) and Hg at (0.253, 0.500, 0.200).

***

Which of them is most stable, and which least? Most stable: (R); least stable: (Q).